(1)
# PBE-GGA Ca2ErSnSe4, optimized geometry
# E_tot: -38.373 eV per cell
# formation energy from raw total energies: -1.483 eV/atom
# V: 209 Å³/f.u.
data_Ca2ErSnSe4
_cell_length_a 4.180
_cell_length_b 7.320
_cell_length_c 7.230
_cell_angle_alpha 109.42
_cell_angle_beta 90.00
_cell_angle_gamma 90.00
_space_group_name_H-M_alt 'P 1'
_space_group_IT_number 1
loop_
_space_group_symop_operation_xyz
'x,y,z'
loop_
_atom_site_label
_atom_site_type_symbol
_atom_site_fract_x
_atom_site_fract_y
_atom_site_fract_z
Er1 Er 0.500 0.500 0.000
Se1 Se 0.500 0.259 0.248
Se2 Se 0.000 0.259 0.756
Se3 Se 0.000 0.741 0.244
Se4 Se 0.500 0.741 0.752
Ca1 Ca 0.000 0.500 0.500
Ca2 Ca 0.500 0.000 0.500
Sn1 Sn 0.000 0.000 0.000

(2)
# PBE-GGA Ni5W4, optimized geometry
# E_tot: -158.326 eV per cell
# formation enthalpy at 0 K: 0.17 eV per atom
# V: 120 Å³/f.u.
# polymorph energy (0 for the lowest one): 0.101 eV/atom
data_Ni5W4
_cell_length_a 7.324
_cell_length_b 7.324
_cell_length_c 5.175
_cell_angle_alpha 90.00
_cell_angle_beta 90.00
_cell_angle_gamma 60.00
_space_group_name_H-M_alt 'P 1'
_space_group_IT_number 1
loop_
_space_group_symop_operation_xyz
'x,y,z'
loop_
_atom_site_label
_atom_site_type_symbol
_atom_site_fract_x
_atom_site_fract_y
_atom_site_fract_z
Ni1 Ni 0.667 0.667 0.500
Ni2 Ni 0.333 0.333 0.500
Ni3 Ni 0.667 0.667 0.000
Ni4 Ni 0.663 0.000 0.250
Ni5 Ni 0.663 0.337 0.750
Ni6 Ni 0.000 0.337 0.250
Ni7 Ni 0.000 0.663 0.750
Ni8 Ni 0.333 0.333 0.000
Ni9 Ni 0.337 0.000 0.750
Ni10 Ni 0.337 0.663 0.250
W1 W 0.000 0.333 0.750
W2 W 0.000 0.667 0.250
W3 W 0.000 0.000 0.000
W4 W 0.000 0.000 0.500
W5 W 0.667 0.333 0.250
W6 W 0.333 0.000 0.250
W7 W 0.333 0.667 0.750
W8 W 0.667 0.000 0.750

(3)
# PBE-GGA KVHg, optimized geometry
# E_tot: -7.780 eV per cell
# formation enthalpy at 0 K: 0.91 eV per atom
# V: 99 Å³/f.u.
# polymorph energy (0 for the lowest one): 0.615 eV/atom
data_KVHg
_cell_length_a 5.196
_cell_length_b 5.196
_cell_length_c 5.196
_cell_angle_alpha 60.00
_cell_angle_beta 60.00
_cell_angle_gamma 60.00
_space_group_name_H-M_alt 'P 1'
_space_group_IT_number 1
loop_
_space_group_symop_operation_xyz
'x,y,z'
loop_
_atom_site_label
_atom_site_type_symbol
_atom_site_fract_x
_atom_site_fract_y
_atom_site_fract_z
V1 V 0.750 0.750 0.750
Hg1 Hg 0.000 0.000 0.000
K1 K 0.250 0.250 0.250

(4)
# PBE-GGA CaSbPt, optimized geometry
# E_tot: -90.475 eV per cell
# formation energy from raw total energies: -0.971 eV/atom
# V: 68 Å³/f.u.
data_CaSbPt
_cell_length_a 4.637
_cell_length_b 7.946
_cell_length_c 12.062
_cell_angle_alpha 109.23
_cell_angle_beta 101.08
_cell_angle_gamma 90.00
_space_group_name_H-M_alt 'P 1'
_space_group_IT_number 1
loop_
_space_group_symop_operation_xyz
'x,y,z'
loop_
_atom_site_label
_atom_site_type_symbol
_atom_site_fract_x
_atom_site_fract_y
_atom_site_fract_z
Ca1 Ca 0.500 0.945 0.000
Ca2 Ca 0.829 0.278 0.659
Ca3 Ca 0.334 0.880 0.668
Ca4 Ca 0.000 0.540 0.000
Ca5 Ca 0.171 0.620 0.341
Ca6 Ca 0.666 0.211 0.332
Pt1 Pt 0.570 0.397 0.140
Pt2 Pt 0.267 0.428 0.534
Pt3 Pt 0.102 0.933 0.205
Pt4 Pt 0.898 0.728 0.795
Pt5 Pt 0.430 0.257 0.860
Pt6 Pt 0.733 0.894 0.466
Sb1 Sb 0.603 0.757 0.205
Sb2 Sb 0.067 0.224 0.135
Sb3 Sb 0.933 0.089 0.865
Sb4 Sb 0.229 0.065 0.457
Sb5 Sb 0.397 0.551 0.795
Sb6 Sb 0.771 0.607 0.543